No. 1
NaMo6Se8: single point on PBEsol structure, SCAN.

```
NaMo6Se8
1.0
4.731 2.732 3.904
-4.731 2.732 3.904
0.000 -5.463 3.904
Na Mo Se
1 6 8
Cartesian
0.000 0.000 0.000 Na
-0.880 -1.260 4.724 Mo
-0.651 1.392 4.724 Mo
-1.531 0.132 6.990 Mo
1.531 -0.132 4.724 Mo
0.651 -1.392 6.990 Mo
0.880 1.260 6.990 Mo
-2.967 0.280 4.901 Se
0.000 0.000 2.747 Se
-1.726 -2.429 6.813 Se
1.241 -2.709 4.901 Se
-1.241 2.709 6.813 Se
1.726 2.429 4.901 Se
0.000 0.000 8.967 Se
2.967 -0.280 6.813 Se
```

Space group: R-3
ΔE_f (raw) (eV/atom): -0.65

=====

No. 2
KPS2Cl: single point on PBEsol structure, SCAN.

```
KPS2Cl
1.0
4.862 0.000 0.000
0.000 4.862 0.000
0.000 0.000 4.670
K P S Cl
1 1 2 1
Cartesian
0.000 0.000 0.000 K
2.431 2.431 0.000 P
0.000 2.431 2.335 S
2.431 0.000 2.335 S
2.431 2.431 2.335 Cl
```

Space group: P4/mmm
ΔE_f (raw) (eV/atom): 0.59

=====

No. 3
CdFeP3: single point on PBEsol structure, SCAN.

```
CdFeP3
1.0
4.365 0.000 0.000
0.000 4.365 0.000
0.000 0.000 4.365
Cd Fe P
1 1 3
Cartesian
0.000 0.000 0.000 Cd
2.182 2.182 2.182 Fe
0.000 2.182 2.182 P
2.182 0.000 2.182 P
2.182 2.182 0.000 P
```

Formation energy (eV/atom): 0.6165
Space group: Pm-3m

=====

No. 4
Sc3FeH: single point on PBEsol structure, SCAN.

```
Sc3FeH
1.0
4.280 0.000 0.000
0.000 4.280 0.000
0.000 0.000 4.280
Sc Fe H
3 1 1
Cartesian
0.000 0.000 2.140 Sc
0.000 2.140 0.000 Sc
2.140 0.000 0.000 Sc
2.140 2.140 2.140 Fe
0.000 0.000 0.000 H
```

Space group: Pm-3m

=====

No. 5
Cd3Pt: single point on PBEsol structure, SCAN.

```
Cd3Pt
1.0
4.766 0.000 0.000
0.000 5.811 0.000
0.000 0.000 5.216
Cd Pt
6 2
Cartesian
1.192 0.020 0.863 Cd
1.192 2.885 0.863 Cd
1.192 4.358 3.327 Cd
3.575 1.453 1.889 Cd
3.575 2.926 4.353 Cd
3.575 5.791 4.353 Cd
1.192 1.453 3.536 Pt
3.575 4.358 1.680 Pt
```

Formation energy (eV/atom): -0.2492
Space group: Pmmn

=====

No. 6
K2Bi2Au: single point on PBEsol structure, SCAN.

```
K2Bi2Au
1.0
-2.223 2.223 7.991
2.223 -2.223 7.991
2.223 2.223 -7.991
K Bi Au
2 2 1
Cartesian
2.223 0.000 3.996 K
0.000 2.223 3.996 K
0.000 0.000 1.383 Bi
0.000 0.000 14.600 Bi
0.000 0.000 7.991 Au
```

Formation energy (eV/atom): 0.3989
Space group: I4/mmm

=====

No. 7
SrOsAu3: single point on PBEsol structure, SCAN.

```
SrOsAu3
1.0
5.002 0.000 0.000
0.000 5.002 0.000
0.000 0.000 5.002
Sr Os Au
1 1 3
Cartesian
0.000 0.000 0.000 Sr
2.501 2.501 2.501 Os
0.000 2.501 2.501 Au
2.501 0.000 2.501 Au
2.501 2.501 0.000 Au
```

Formation energy (eV/atom): 0.1530
Space group: Pm-3m
ΔE to the lowest computed polymorph (eV per atom): 0.000

=====

No. 8
YNbSbTe2: single point on PBEsol structure, SCAN.

```
YNbSbTe2
1.0
5.617 0.000 0.000
0.000 5.617 0.000
0.000 0.000 5.602
Y Nb Sb Te
1 1 1 2
Cartesian
0.000 0.000 0.000 Y
2.809 2.809 2.801 Nb
0.000 0.000 2.801 Sb
0.000 2.809 0.000 Te
2.809 0.000 0.000 Te
```

Space group: P4/mmm
ΔE_f (raw) (eV/atom): 0.60

=====

No. 9
Tb5Sb3: single point on PBEsol structure, SCAN.

```
Tb5Sb3
1.0
8.905 0.000 0.000
-4.453 7.712 0.000
0.000 0.000 6.212
Tb Sb
10 6
Cartesian
-1.101 1.907 1.553 Tb
-3.352 5.805 4.659 Tb
2.202 0.000 1.553 Tb
1.101 1.907 4.659 Tb
0.000 5.141 0.000 Tb
0.000 5.141 3.106 Tb
4.453 2.571 0.000 Tb
4.453 2.571 3.106 Tb
6.703 0.000 4.659 Tb
3.352 5.805 1.553 Tb
-1.733 3.001 4.659 Sb
-2.720 4.711 1.553 Sb
3.465 0.000 4.659 Sb
1.733 3.001 1.553 Sb
5.440 0.000 1.553 Sb
2.720 4.711 4.659 Sb
```

Space group: P6_3/mcm
ΔE_f (raw) (eV/atom): -1.03

=====

No. 10
K2MgSc: single point on PBEsol structure, SCAN.

```
K2MgSc
1.0
3.466 -6.598 0.000
3.466 6.598 0.000
-1.531 0.000 3.070
K Mg Sc
2 1 1
Cartesian
1.733 3.299 0.000 K
1.733 -3.299 0.000 K
-0.765 0.000 1.535 Mg
2.700 0.000 1.535 Sc
```

Formation energy (eV/atom): 0.5162
Space group: C2/m

=====

No. 11
SrBeAg2: single point on PBEsol structure, SCAN.

```
SrBeAg2
1.0
2.156 1.245 5.413
-2.156 1.245 5.413
0.000 -2.489 5.413
Sr Be Ag
1 1 2
Cartesian
0.000 0.000 0.000 Sr
0.000 0.000 8.120 Be
0.000 0.000 3.225 Ag
0.000 0.000 13.016 Ag
```

Formation energy (eV/atom): -0.0687
Space group: R-3m

=====

No. 12
Al3Te: single point on PBEsol structure, SCAN.

```
Al3Te
1.0
3.593 0.000 0.000
0.000 3.593 0.000
0.000 0.000 6.139
Al Te
3 1
Cartesian
0.000 0.000 0.000 Al
1.797 1.797 1.385 Al
1.797 1.797 4.754 Al
0.000 0.000 3.069 Te
```

Space group: P4/mmm
ΔE to the lowest computed polymorph (eV per atom): 0.000
ΔE_f (raw) (eV/atom): 0.17

=====

No. 13
Y2MnRe: single point on PBEsol structure, SCAN.

```
Y2MnRe
1.0
-2.098 2.098 4.527
2.098 -2.098 4.527
2.098 2.098 -4.527
Y Mn Re
2 1 1
Cartesian
0.000 0.000 0.000 Y
0.000 2.098 2.264 Y
0.000 0.000 4.527 Mn
2.098 0.000 2.264 Re
```

Formation energy (eV/atom): 0.3086
Space group: I-4m2
ΔE to the lowest computed polymorph (eV per atom): 0.060

=====

No. 14
SrSe5: single point on PBEsol structure, SCAN.

```
SrSe5
1.0
6.488 0.000 0.000
-3.244 5.619 0.000
0.000 0.000 3.952
Sr Se
1 5
Cartesian
0.000 0.000 0.000 Sr
-1.980 3.429 1.976 Se
0.000 3.746 0.000 Se
1.264 2.190 1.976 Se
3.959 0.000 1.976 Se
3.244 1.873 0.000 Se
```

Space group: P-62m
ΔE_f (raw) (eV/atom): -0.34

=====

No. 15
BeCdFe: single point on PBEsol structure, SCAN.

```
BeCdFe
1.0
4.090 0.000 0.000
-2.045 3.542 0.000
0.000 0.000 2.692
Be Cd Fe
1 1 1
Cartesian
0.000 0.000 0.000 Be
0.000 2.361 0.529 Cd
2.045 1.181 1.782 Fe
```

Formation energy (eV/atom): 0.3435
Space group: P3m1
ΔE to the lowest computed polymorph (eV per atom): 0.000

=====

No. 16
SrLa3Ir: single point on PBEsol structure, SCAN.

```
SrLa3Ir
1.0
5.698 0.000 0.000
0.000 5.698 0.000
0.000 0.000 5.698
Sr La Ir
1 3 1
Cartesian
0.000 0.000 0.000 Sr
0.000 2.849 2.849 La
2.849 0.000 2.849 La
2.849 2.849 0.000 La
2.849 2.849 2.849 Ir
```

Formation energy (eV/atom): -0.4040
Space group: Pm-3m
ΔE to the lowest computed polymorph (eV per atom): 0.015

=====

No. 17
MnBiSe2: single point on PBEsol structure, SCAN.

```
MnBiSe2
1.0
1.746 1.008 8.624
-1.746 1.008 8.624
0.000 -2.017 8.624
Mn Bi Se
1 1 2
Cartesian
0.000 0.000 0.000 Mn
0.000 0.000 12.937 Bi
0.000 0.000 10.003 Se
0.000 0.000 15.870 Se
```

Space group: R-3m
ΔE_f (raw) (eV/atom): -0.46

=====

No. 18
KPb5: single point on PBEsol structure, SCAN.

```
KPb5
1.0
3.785 0.000 0.000
0.000 3.785 0.000
0.000 0.000 13.166
K Pb
1 5
Cartesian
0.000 0.000 0.000 K
0.000 0.000 4.446 Pb
0.000 0.000 8.720 Pb
1.892 1.892 2.568 Pb
1.892 1.892 6.583 Pb
1.892 1.892 10.598 Pb
```

Formation energy (eV/atom): -0.0663
Space group: P4/mmm
ΔE to the lowest computed polymorph (eV per atom): 0.024

=====

No. 19
Zr2Ge2Os: single point on PBEsol structure, SCAN.

```
Zr2Ge2Os
1.0
6.430 0.000 0.000
0.000 6.430 0.000
0.000 0.000 4.137
Zr Ge Os
4 4 2
Cartesian
1.113 2.102 0.000 Zr
2.102 5.317 0.000 Zr
4.328 1.113 0.000 Zr
5.317 4.328 0.000 Zr
0.881 4.096 2.068 Ge
2.334 0.881 2.068 Ge
4.096 5.549 2.068 Ge
5.549 2.334 2.068 Ge
0.000 0.000 2.068 Os
3.215 3.215 2.068 Os
```

Formation energy (eV/atom): -0.8147
Space group: P4/mbm

=====

No. 20
ZnTc4P: single point on PBEsol structure, SCAN.

```
ZnTc4P
1.0
0.000 3.562 3.562
3.562 0.000 3.562
3.562 3.562 0.000
Zn Tc P
1 4 1
Cartesian
0.000 0.000 0.000 Zn
4.449 2.675 2.675 Tc
2.675 4.449 2.675 Tc
2.675 2.675 4.449 Tc
4.449 4.449 4.449 Tc
1.781 1.781 1.781 P
```

Formation energy (eV/atom): 0.6184
Space group: F-43m

=====

No. 21
TiGa2TcB: single point on PBEsol structure, SCAN.

```
TiGa2TcB
1.0
4.754 0.000 0.000
0.000 4.754 0.000
0.000 0.000 4.500
Ti Ga Tc B
1 2 1 1
Cartesian
0.000 0.000 0.000 Ti
0.000 2.377 2.250 Ga
2.377 0.000 2.250 Ga
0.000 0.000 2.250 Tc
2.377 2.377 0.000 B
```

Formation energy (eV/atom): 1.1165
Space group: P4/mmm

=====

No. 22
Cr4Pt: single point on PBEsol structure, SCAN.

```
Cr4Pt
1.0
-3.232 3.232 1.427
3.232 -3.232 1.427
3.232 3.232 -1.427
Cr Pt
4 1
Cartesian
2.075 0.755 0.000 Cr
2.476 -1.157 1.427 Cr
0.755 4.389 0.000 Cr
1.157 2.476 1.427 Cr
0.000 0.000 1.427 Pt
```

Formation energy (eV/atom): -0.0017
Space group: I4/m

=====

No. 23
Cu2OsPb: single point on PBEsol structure, SCAN.

```
Cu2OsPb
1.0
1.517 -2.405 0.000
1.517 2.405 0.000
0.000 0.000 8.829
Cu Os Pb
2 1 1
Cartesian
0.000 0.000 0.000 Cu
1.517 0.000 1.844 Cu
0.000 0.000 3.847 Os
1.517 0.000 6.327 Pb
```

Formation energy (eV/atom): 0.8744
Space group: Cmm2

=====

No. 24
ZrCrPtC2: single point on PBEsol structure, SCAN.

```
ZrCrPtC2
1.0
3.890 0.000 0.000
0.000 3.890 0.000
0.000 0.000 5.449
Zr Cr Pt C
1 1 1 2
Cartesian
0.000 0.000 0.000 Zr
1.945 1.945 0.000 Cr
0.000 0.000 2.724 Pt
0.000 1.945 2.724 C
1.945 0.000 2.724 C
```

Formation energy (eV/atom): 1.6682
Space group: P4/mmm

=====

No. 25
MgIn2Ni: single point on PBEsol structure, SCAN.

```
MgIn2Ni
1.0
-1.452 2.157 6.289
1.452 -2.157 6.289
1.452 2.157 -6.289
Mg In Ni
1 2 1
Cartesian
0.000 0.000 0.000 Mg
0.000 0.000 4.587 In
0.000 2.157 2.238 In
1.452 0.000 2.276 Ni
```

Formation energy (eV/atom): -0.1247
Space group: Imm2

=====

No. 26
Li3HgTe: single point on PBEsol structure, SCAN.

```
Li3HgTe
1.0
5.145 0.000 0.000
0.000 5.145 0.000
0.000 0.000 5.145
Li Hg Te
3 1 1
Cartesian
0.000 0.000 2.572 Li
0.000 2.572 0.000 Li
2.572 0.000 0.000 Li
2.572 2.572 2.572 Hg
0.000 0.000 0.000 Te
```

Space group: Pm-3m
ΔE_f (raw) (eV/atom): -0.51

=====

Looking at total energy for the records above, in order, we have -383.95; -43.02; -76.66; -64.62; -324.87; -240.98; -300.86; -169.72; -707.61; -33.80; -89.64; -59.84; -143.80; -124.68; -51.87; -224.71; -138.85; -387.63; -351.05; -160.44; -85.63; -143.74; -174.56; -131.14; -88.42; -115.12 eV/cell.
Looking at Fermi-level density of states for the records above, in order, we have 0.50; 0.63; 0.54; 0.93; 0.31; 0.59; 0.55; 1.00; 0.83; 1.02; 0.44; 0.36; 0.91; 0.57; 0.60; 1.34; 0.46; 0.48; 0.34; 0.70; 0.67; 1.18; 0.54; 0.76; 0.43; 0.48 states/eV per atom.